FeCo2: optimized geometry, GGA-PBEsol.

As for the density of states at the Fermi level: 6.5 states/eV/cell. Its total energy is -48.55 eV per cell. The calculated formation energy is 53 meV/atom.

POSCAR file:
```
FeCo2
1.0
2.421 0.000 0.000
0.953 4.568 0.000
0.868 1.164 5.824
Fe Co
2 4
Cartesian
0.422 0.590 0.967
3.819 5.142 4.857
1.166 1.713 2.911
2.116 2.864 4.830
2.126 2.868 0.994
3.075 4.020 2.913
```